Record 1
Below is a geometry-optimized La6AlHg2 structure, with properties calculated at the GGA-PBE level.

**Formation enthalpy at 0 K**: -0.249 eV/atom
**Polymorph energy (0 for the lowest one)**: 0.29 eV per formula unit

Cell: 10.504 10.557 10.572 Å, 90.00 90.00 90.00°
Space group Immm (No. 71)
Asymmetric unit:
La 0.000 0.246 0.191 (multiplicity 8)
La 0.232 0.000 0.323 (multiplicity 8)
La 0.235 0.329 0.500 (multiplicity 8)
Al 0.000 0.000 0.000 (multiplicity 2)
Al 0.000 0.500 0.000 (multiplicity 2)
Hg 0.000 0.141 0.500 (multiplicity 4)
Hg 0.000 0.500 0.354 (multiplicity 4)

---

Record 2
Below is a geometry-optimized LaAl2Hg2 structure, with properties calculated at the GGA-PBE level.

**Formation enthalpy at 0 K**: -0.351 eV/atom
**Polymorph energy (0 for the lowest one)**: 0.15 eV per formula unit

Cell: 4.453 4.453 11.722 Å, 90.00 90.00 90.00°
Space group I4/mmm (No. 139)
Asymmetric unit:
La 0.000 0.000 0.000 (multiplicity 2)
Al 0.000 0.500 0.250 (multiplicity 4)
Hg 0.000 0.000 0.380 (multiplicity 4)

---

Record 3
Below is a geometry-optimized LaAl2Hg2 structure, with properties calculated at the GGA-PBE level.

**Formation enthalpy at 0 K**: -0.381 eV/atom
**Polymorph energy (0 for the lowest one)**: 0.00 eV per formula unit

Cell: 4.546 4.546 11.124 Å, 90.00 90.00 90.00°
Space group P4/nmm (No. 129, origin choice 2)
Asymmetric unit:
La 0.250 0.250 0.250 (multiplicity 2)
Al 0.250 0.250 0.635 (multiplicity 2)
Al 0.250 0.750 0.000 (multiplicity 2)
Hg 0.250 0.250 0.867 (multiplicity 2)
Hg 0.250 0.750 0.500 (multiplicity 2)

---

no.,total energy (eV/atom)
1,-4.02
2,-2.95
3,-2.98